Record 1
Material: IrNO2
Method: DFT, PBE-GGA
State: relaxed

Calculated values
D(E_F), states/eV/atom: 1.123
Magnetic moment, μB/f.u.: 0.00
Energy, eV for the cell shown: -68.75
Crystal system: trigonal

a = 3.1126 Å, b = 3.1126 Å, c = 16.6876 Å
α = 90.00°, β = 90.00°, γ = 120.00°
Space group R-3m (No. 166, hexagonal axes)
Asymmetric unit:
Ir 0.0000 0.0000 0.0000 (multiplicity 3)
N 0.0000 0.0000 0.5000 (multiplicity 3)
O 0.0000 0.0000 0.3904 (multiplicity 6)

***

Record 2
Material: TlTcCl2
Method: DFT, PBE-GGA
State: relaxed

Calculated values
D(E_F), states/eV/atom: 0.605
Magnetic moment, μB/f.u.: 1.53
Energy above the most stable polymorph in this dataset, eV per atom: 0.034
Crystal system: orthorhombic

a = 3.152 Å, b = 5.597 Å, c = 11.325 Å
α = 90.00°, β = 90.00°, γ = 90.00°
Space group Immm (No. 71)
Asymmetric unit:
Tl 0.000 0.000 0.000 (multiplicity 2)
Tc 0.000 0.000 0.500 (multiplicity 2)
Cl 0.000 0.500 0.163 (multiplicity 4)

***

Record 3
Material: PmTmNi
Method: DFT, PBE-GGA
State: relaxed

Calculated values
D(E_F), states/eV/atom: 1.075
Magnetic moment, μB/f.u.: 0.00
Energy above the most stable polymorph in this dataset, eV per atom: 0.064
Crystal system: orthorhombic
Formation energy from the elements, kJ/mol of formula units: -60

a = 12.358 Å, b = 4.864 Å, c = 4.864 Å
α = 90.00°, β = 90.00°, γ = 90.00°
Space group Amm2 (No. 38)
Asymmetric unit:
Pm 0.136 0.000 0.000 (multiplicity 4)
Tm 0.373 0.000 0.501 (multiplicity 4)
Ni 0.000 0.000 0.500 (multiplicity 2)
Ni 0.500 0.000 0.002 (multiplicity 2)

***

Record 4
Material: K2ScBiSe
Method: DFT, PBE-GGA
State: relaxed

Calculated values
D(E_F), states/eV/atom: 2.119
Magnetic moment, μB/f.u.: 0.98
Energy, eV for the cell shown: -13.50
Crystal system: tetragonal

a = 6.758 Å, b = 6.758 Å, c = 5.640 Å
α = 90.00°, β = 90.00°, γ = 90.00°
Space group P4/mmm (No. 123)
Asymmetric unit:
K 0.000 0.500 0.000 (multiplicity 2)
Sc 0.000 0.000 0.500 (multiplicity 1)
Bi 0.500 0.500 0.000 (multiplicity 1)
Se 0.500 0.500 0.500 (multiplicity 1)

***

Record 5
Material: Sn2Rh
Method: DFT, PBE-GGA
State: relaxed

Calculated values
D(E_F), states/eV/atom: 0.411
Magnetic moment, μB/f.u.: 0.00
Crystal system: orthorhombic
Formation energy from the elements, kJ/mol of formula units: -122

a = 12.400 Å, b = 6.363 Å, c = 6.403 Å
α = 90.00°, β = 90.00°, γ = 90.00°
Space group Cmce (No. 64)
Asymmetric unit:
Sn 0.000 0.164 0.164 (multiplicity 8)
Sn 0.250 0.245 0.750 (multiplicity 8)
Rh 0.118 0.000 0.500 (multiplicity 8)

***

Record 6
Material: LiCuPb
Method: DFT, PBE-GGA
State: relaxed

Calculated values
D(E_F), states/eV/atom: 0.401
Magnetic moment, μB/f.u.: 0.00
Crystal system: orthorhombic
Formation energy from the elements, kJ/mol of formula units: -7

a = 4.934 Å, b = 5.041 Å, c = 8.822 Å
α = 90.00°, β = 90.00°, γ = 90.00°
Space group Fmm2 (No. 42)
Asymmetric unit:
Li 0.000 0.000 0.000 (multiplicity 4)
Cu 0.000 0.000 0.643 (multiplicity 4)
Pb 0.000 0.000 0.317 (multiplicity 4)

***

Among the records above, which one has the highest magnetic moment?
TlTcCl2

***

Which value of D(E_F) does entry 3 give?
1.075 states/eV/atom

***

What is the D(E_F) in the fifth record?
0.411 states/eV/atom